Material: NaPrSb2
Method: DFT, PBE
State: relaxed

Geometry as CIF:
```
data_NaPrSb2
_chemical_formula_sum 'Na3 Pr3 Sb6'
_symmetry_space_group_name_H-M 'R -3 m'
_symmetry_Int_Tables_number 166
_symmetry_space_group_name_Hall '-R 3 2"'
_cell_length_a 5.4158
_cell_length_b 5.4158
_cell_length_c 13.7464
_cell_angle_alpha 90.00
_cell_angle_beta 90.00
_cell_angle_gamma 120.00
loop_
_atom_site_label
_atom_site_fract_x
_atom_site_fract_y
_atom_site_fract_z
Na1 0.0000 0.0000 0.0000
Pr1 0.0000 0.0000 0.5000
Sb1 0.0000 0.0000 0.2512
```

Crystal system = trigonal
Total energy = -4.127 eV per atom
Total moment = 0.00 μB/atom
Uncorrected formation energy = -541 meV per atom
DOS at the Fermi energy = 14.9 states/eV/cell

***

Material: NaPr2Sb4
Method: DFT, PBE
State: relaxed

Geometry as CIF:
```
data_NaPr2Sb4
_chemical_formula_sum 'Na1 Pr2 Sb4'
_symmetry_space_group_name_H-M 'P -4 m 2'
_symmetry_Int_Tables_number 115
_symmetry_space_group_name_Hall 'P -4 -2'
_cell_length_a 4.310
_cell_length_b 4.310
_cell_length_c 12.325
_cell_angle_alpha 90.00
_cell_angle_beta 90.00
_cell_angle_gamma 90.00
loop_
_atom_site_label
_atom_site_fract_x
_atom_site_fract_y
_atom_site_fract_z
Na1 0.000 0.000 0.000
Pr1 0.000 0.500 0.713
Sb1 0.000 0.000 0.500
Sb2 0.000 0.500 0.197
Sb3 0.500 0.500 0.500
```

Crystal system = tetragonal
Total energy = -4.581 eV per atom
Total moment = 0.00 μB/atom
Uncorrected formation energy = -671 meV per atom
DOS at the Fermi energy = 6.1 states/eV/cell

***

Material: NaPrSb2
Method: DFT, PBE
State: relaxed

Geometry as CIF:
```
data_NaPrSb2
_chemical_formula_sum 'Na1 Pr1 Sb2'
_symmetry_space_group_name_H-M 'P 4/m m m'
_symmetry_Int_Tables_number 123
_symmetry_space_group_name_Hall '-P 4 2'
_cell_length_a 5.063
_cell_length_b 5.063
_cell_length_c 4.395
_cell_angle_alpha 90.00
_cell_angle_beta 90.00
_cell_angle_gamma 90.00
loop_
_atom_site_label
_atom_site_fract_x
_atom_site_fract_y
_atom_site_fract_z
Na1 0.000 0.000 0.000
Pr1 0.500 0.500 0.000
Sb1 0.000 0.500 0.500
```

Crystal system = tetragonal
Total energy = -4.223 eV per atom
Total moment = 0.00 μB/atom
Uncorrected formation energy = -637 meV per atom
DOS at the Fermi energy = 1.8 states/eV/cell

***

Material: Na2PrSbSe4
Method: DFT, PBE
State: relaxed

Geometry as CIF:
```
data_Na2PrSbSe4
_chemical_formula_sum 'Na2 Pr1 Sb1 Se4'
_symmetry_space_group_name_H-M 'P 1 2/m 1'
_symmetry_Int_Tables_number 10
_symmetry_space_group_name_Hall '-P 2y'
_cell_length_a 7.367
_cell_length_b 4.243
_cell_length_c 7.441
_cell_angle_alpha 90.00
_cell_angle_beta 109.23
_cell_angle_gamma 90.00
loop_
_atom_site_label
_atom_site_fract_x
_atom_site_fract_y
_atom_site_fract_z
Na1 0.000 0.000 0.000
Na2 0.500 0.500 0.000
Pr1 0.000 0.500 0.500
Sb1 0.500 0.000 0.500
Se1 0.253 0.000 0.736
Se2 0.263 0.500 0.267
```

Crystal system = monoclinic
Total energy = -4.338 eV per atom
Total moment = 0.00 μB/atom
Uncorrected formation energy = -1153 meV per atom

***

Material: Na3Pr2SbSe6
Method: DFT, PBE
State: relaxed

Geometry as CIF:
```
data_Na3Pr2SbSe6
_chemical_formula_sum 'Na6 Pr4 Sb2 Se12'
_symmetry_space_group_name_H-M 'C 1 2/m 1'
_symmetry_Int_Tables_number 12
_symmetry_space_group_name_Hall '-C 2y'
_cell_length_a 7.400
_cell_length_b 12.817
_cell_length_c 7.437
_cell_angle_alpha 90.00
_cell_angle_beta 109.33
_cell_angle_gamma 90.00
loop_
_atom_site_label
_atom_site_fract_x
_atom_site_fract_y
_atom_site_fract_z
Na1 0.000 0.000 0.000
Na2 0.000 0.337 0.000
Pr1 0.000 0.167 0.500
Sb1 0.000 0.500 0.500
Se1 0.241 0.338 0.736
Se2 0.247 0.500 0.267
```

Crystal system = monoclinic
Total energy = -4.541 eV per atom
Total moment = 0.00 μB/atom
Uncorrected formation energy = -1329 meV per atom
DOS at the Fermi energy = 0.0 states/eV/cell

***

Material: Na3PrSb2Te6
Method: DFT, PBE
State: relaxed

Geometry as CIF:
```
data_Na3PrSb2Te6
_chemical_formula_sum 'Na6 Pr2 Sb4 Te12'
_symmetry_space_group_name_H-M 'C 1 2/m 1'
_symmetry_Int_Tables_number 12
_symmetry_space_group_name_Hall '-C 2y'
_cell_length_a 7.786
_cell_length_b 13.494
_cell_length_c 8.004
_cell_angle_alpha 90.00
_cell_angle_beta 108.94
_cell_angle_gamma 90.00
loop_
_atom_site_label
_atom_site_fract_x
_atom_site_fract_y
_atom_site_fract_z
Na1 0.000 0.000 0.000
Na2 0.000 0.333 0.000
Pr1 0.000 0.500 0.500
Sb1 0.000 0.167 0.500
Te1 0.234 0.000 0.734
Te2 0.249 0.328 0.732
```

Crystal system = monoclinic
Total energy = -3.726 eV per atom
Total moment = 0.00 μB/atom
Uncorrected formation energy = -740 meV per atom

***

Material: NaPrTh2Sb4
Method: DFT, PBE
State: relaxed

Geometry as CIF:
```
data_NaPrTh2Sb4
_chemical_formula_sum 'Na1 Pr1 Th2 Sb4'
_symmetry_space_group_name_H-M 'P 1 2/m 1'
_symmetry_Int_Tables_number 10
_symmetry_space_group_name_Hall '-P 2y'
_cell_length_a 7.863
_cell_length_b 4.555
_cell_length_c 7.889
_cell_angle_alpha 90.00
_cell_angle_beta 109.19
_cell_angle_gamma 90.00
loop_
_atom_site_label
_atom_site_fract_x
_atom_site_fract_y
_atom_site_fract_z
Na1 0.000 0.000 0.000
Pr1 0.000 0.500 0.500
Th1 0.500 0.000 0.500
Th2 0.500 0.500 0.000
Sb1 0.254 0.000 0.752
Sb2 0.261 0.500 0.254
```

Crystal system = monoclinic
Total energy = -5.510 eV per atom
Total moment = 0.00 μB/atom
Uncorrected formation energy = -832 meV per atom
DOS at the Fermi energy = 2.3 states/eV/cell

***

Material: NaPrSc
Method: DFT, PBE
State: relaxed

Geometry as CIF:
```
data_NaPrSc
_chemical_formula_sum 'Na8 Pr8 Sc8'
_symmetry_space_group_name_H-M 'F m m m'
_symmetry_Int_Tables_number 69
_symmetry_space_group_name_Hall '-F 2 2'
_cell_length_a 6.102
_cell_length_b 11.438
_cell_length_c 11.463
_cell_angle_alpha 90.00
_cell_angle_beta 90.00
_cell_angle_gamma 90.00
loop_
_atom_site_label
_atom_site_fract_x
_atom_site_fract_y
_atom_site_fract_z
Na1 0.000 0.000 0.146
Pr1 0.000 0.177 0.500
Sc1 0.250 0.250 0.250
```

Crystal system = orthorhombic
Total energy = -3.731 eV per atom
ΔH_f (0 K) = 119 kJ/mol of formula units
Total moment = 0.00 μB/atom
DOS at the Fermi energy = 29.5 states/eV/cell

***

Material: NaPrSc
Method: DFT, PBE
State: relaxed

Geometry as CIF:
```
data_NaPrSc
_chemical_formula_sum 'Na2 Pr2 Sc2'
_symmetry_space_group_name_H-M 'P 6/m m m'
_symmetry_Int_Tables_number 191
_symmetry_space_group_name_Hall '-P 6 2'
_cell_length_a 5.4719
_cell_length_b 5.4719
_cell_length_c 7.1468
_cell_angle_alpha 90.00
_cell_angle_beta 90.00
_cell_angle_gamma 120.00
loop_
_atom_site_label
_atom_site_fract_x
_atom_site_fract_y
_atom_site_fract_z
Na1 0.3333 0.6667 0.0000
Pr1 0.0000 0.0000 0.2691
Sc1 0.3333 0.6667 0.5000
```

Crystal system = hexagonal
Total energy = -3.944 eV per atom
ΔH_f (0 K) = 58 kJ/mol of formula units
Total moment = 0.00 μB/atom
DOS at the Fermi energy = 7.9 states/eV/cell

***

Material: NaPrSc
Method: DFT, PBE
State: relaxed

Geometry as CIF:
```
data_NaPrSc
_chemical_formula_sum 'Na1 Pr1 Sc1'
_symmetry_space_group_name_H-M 'P 3 m 1'
_symmetry_Int_Tables_number 156
_symmetry_space_group_name_Hall 'P 3 -2"'
_cell_length_a 3.4942
_cell_length_b 3.4942
_cell_length_c 8.9898
_cell_angle_alpha 90.00
_cell_angle_beta 90.00
_cell_angle_gamma 120.00
loop_
_atom_site_label
_atom_site_fract_x
_atom_site_fract_y
_atom_site_fract_z
Na1 0.0000 0.0000 0.0000
Pr1 0.3333 0.6667 0.6328
Sc1 0.6667 0.3333 0.3364
```

Crystal system = trigonal
Total energy = -3.965 eV per atom
ΔH_f (0 K) = 52 kJ/mol of formula units
Total moment = 0.19 μB/atom
DOS at the Fermi energy = 4.3 states/eV/cell

***

Material: NaPrSc2Se4
Method: DFT, PBE
State: relaxed

Geometry as CIF:
```
data_NaPrSc2Se4
_chemical_formula_sum 'Na1 Pr1 Sc2 Se4'
_symmetry_space_group_name_H-M 'P 1 2/m 1'
_symmetry_Int_Tables_number 10
_symmetry_space_group_name_Hall '-P 2y'
_cell_length_a 6.962
_cell_length_b 3.987
_cell_length_c 7.134
_cell_angle_alpha 90.00
_cell_angle_beta 108.54
_cell_angle_gamma 90.00
loop_
_atom_site_label
_atom_site_fract_x
_atom_site_fract_y
_atom_site_fract_z
Na1 0.000 0.000 0.000
Pr1 0.500 0.500 0.000
Sc1 0.000 0.500 0.500
Sc2 0.500 0.000 0.500
Se1 0.236 0.000 0.724
Se2 0.256 0.500 0.276
```

Crystal system = monoclinic
Total energy = -5.735 eV per atom
Total moment = 0.00 μB/atom
Uncorrected formation energy = -1648 meV per atom
DOS at the Fermi energy = 3.1 states/eV/cell

***

Material: Na3PrSc2Se6
Method: DFT, PBE
State: relaxed

Geometry as CIF:
```
data_Na3PrSc2Se6
_chemical_formula_sum 'Na6 Pr2 Sc4 Se12'
_symmetry_space_group_name_H-M 'C 1 2/m 1'
_symmetry_Int_Tables_number 12
_symmetry_space_group_name_Hall '-C 2y'
_cell_length_a 7.050
_cell_length_b 12.225
_cell_length_c 7.383
_cell_angle_alpha 90.00
_cell_angle_beta 108.76
_cell_angle_gamma 90.00
loop_
_atom_site_label
_atom_site_fract_x
_atom_site_fract_y
_atom_site_fract_z
Na1 0.000 0.000 0.000
Na2 0.000 0.338 0.000
Pr1 0.000 0.500 0.500
Sc1 0.000 0.168 0.500
Se1 0.220 0.000 0.724
Se2 0.247 0.178 0.276
```

Crystal system = monoclinic
Total energy = -5.125 eV per atom
Total moment = 0.00 μB/atom
Uncorrected formation energy = -1600 meV per atom
DOS at the Fermi energy = 0.0 states/eV/cell